Density functional theory data (GGA+U) for a relaxed structure of ZnGaFeO4.

Output
The value obtained for the raw total energy is -80.596 eV per cell. Its volume is 152 Å³/cell. The value obtained for the total magnetization is 0.429 μB per atom. As for the space group: Imma, No. 74.

```
14
Lattice="6.0590 0.0000 0.0000 -3.0295 5.1189 -0.0973 0.0000 -3.4989 4.9540" Properties=species:S:1:pos:R:3 pbc="T T T"
O -1.4066 4.1631 1.0840
O 3.0295 -0.2449 3.7151
O 1.6229 -2.5431 3.7727
O 0.0000 -0.0500 3.8529
O 1.4066 4.1631 1.0840
O 4.4362 -2.5431 3.7727
O 0.0000 1.8649 1.1416
O 3.0295 1.6700 1.0039
Fe 3.0295 -1.7494 2.4770
Fe 3.0295 0.0000 0.0000
Ga -1.5148 2.5594 -0.0486
Ga 1.5148 2.5594 -0.0486
Zn 0.0000 -0.0209 1.8415
Zn 3.0295 1.6409 3.0152
```